Run one
The following is a meta-GGA SCAN calculation of LiBeBr2 at its PBEsol-relaxed geometry, from the Alexandria database.

Cell lengths 3.431, 3.431, 10.205 Å; angles 80.32, 80.32, 60.00 degrees
Positions (direct):
Be 0.500 0.500 0.500
Br 0.879 0.879 0.364
Br 0.121 0.121 0.636
Li 0.000 0.000 0.000

Run two
The following is a meta-GGA SCAN calculation of LiBeBr2 at its PBEsol-relaxed geometry, from the Alexandria database.

Cell lengths 3.369, 3.369, 6.722 Å; angles 90.00, 90.00, 90.00 degrees
Positions (direct):
Be 0.500 0.500 0.500
Br 0.000 0.000 0.746
Br 0.000 0.000 0.254
Li 0.500 0.500 0.000

Most stable: run one

Run one
The following is a meta-GGA SCAN calculation of MgBe2Br at its PBEsol-relaxed geometry, from the Alexandria database.

Cell lengths 3.308, 4.130, 5.520 Å; angles 111.81, 107.25, 90.47 degrees
Positions (direct):
Be 0.000 0.000 0.500
Be 0.500 0.500 0.500
Mg 0.500 0.500 0.000
Br 0.000 0.000 0.000

Run two
The following is a meta-GGA SCAN calculation of MgBe2Br at its PBEsol-relaxed geometry, from the Alexandria database.

Cell lengths 5.253, 5.696, 5.696 Å; angles 77.72, 62.54, 62.54 degrees
Positions (direct):
Be 0.875 0.026 0.474
Be 0.375 0.974 0.526
Be 0.651 0.474 0.974
Be 0.099 0.526 0.026
Mg 0.500 0.000 0.000
Mg 0.250 0.500 0.500
Br 0.000 0.000 0.000
Br 0.750 0.500 0.500

Most stable: run one

Run one
The following is a meta-GGA SCAN calculation of MgBeBr2 at its PBEsol-relaxed geometry, from the Alexandria database.

Cell lengths 3.388, 3.388, 9.482 Å; angles 79.71, 79.71, 60.00 degrees
Positions (direct):
Be 0.500 0.500 0.500
Mg 0.000 0.000 0.000
Br 0.883 0.883 0.351
Br 0.117 0.117 0.649

Run two
The following is a meta-GGA SCAN calculation of MgBeBr2 at its PBEsol-relaxed geometry, from the Alexandria database.

Cell lengths 3.337, 4.676, 6.718 Å; angles 110.37, 104.38, 90.00 degrees
Positions (direct):
Be 0.000 0.500 0.000
Mg 0.500 0.000 0.000
Br 0.361 0.361 0.723
Br 0.639 0.639 0.277

Run three
The following is a meta-GGA SCAN calculation of MgBeBr2 at its PBEsol-relaxed geometry, from the Alexandria database.

Cell lengths 3.500, 3.498, 8.670 Å; angles 78.29, 78.36, 59.99 degrees
Positions (direct):
Be 0.745 0.745 0.764
Mg 0.496 0.495 0.513
Br 0.031 0.030 0.908
Br 0.228 0.229 0.315

Run four
The following is a meta-GGA SCAN calculation of MgBeBr2 at its PBEsol-relaxed geometry, from the Alexandria database.

Cell lengths 3.447, 4.818, 4.818 Å; angles 90.00, 90.00, 90.00 degrees
Positions (direct):
Be 0.500 0.000 0.000
Mg 0.500 0.500 0.500
Br 0.000 0.000 0.500
Br 0.000 0.500 0.000

Most stable: run three

Run one
The following is a meta-GGA SCAN calculation of Mg2BeBr at its PBEsol-relaxed geometry, from the Alexandria database.

Cell lengths 3.267, 4.431, 6.037 Å; angles 90.00, 90.00, 90.00 degrees
Positions (direct):
Be 0.500 0.500 0.000
Mg 0.000 0.000 0.000
Mg 0.500 0.000 0.500
Br 0.000 0.500 0.500

Run two
The following is a meta-GGA SCAN calculation of Mg2BeBr at its PBEsol-relaxed geometry, from the Alexandria database.

Cell lengths 3.245, 3.363, 7.977 Å; angles 102.17, 101.73, 90.00 degrees
Positions (direct):
Be 0.449 0.449 0.899
Mg 0.031 0.031 0.061
Mg 0.816 0.316 0.632
Br 0.204 0.704 0.408

Run three
The following is a meta-GGA SCAN calculation of Mg2BeBr at its PBEsol-relaxed geometry, from the Alexandria database.

Cell lengths 3.362, 4.506, 5.552 Å; angles 104.33, 90.00, 90.00 degrees
Positions (direct):
Be 0.500 0.500 0.000
Mg 0.000 0.000 0.000
Mg 0.500 0.500 0.500
Br 0.000 0.000 0.500

Most stable: run two

Run one
The following is a meta-GGA SCAN calculation of MnBeBr2 at its PBEsol-relaxed geometry, from the Alexandria database.

Cell lengths 3.206, 3.451, 9.156 Å; angles 90.00, 90.00, 117.68 degrees
Positions (direct):
Be 0.500 0.000 0.000
Mn 0.500 0.000 0.500
Br 0.000 0.000 0.827
Br 0.000 0.000 0.173

Run two
The following is a meta-GGA SCAN calculation of MnBeBr2 at its PBEsol-relaxed geometry, from the Alexandria database.

Cell lengths 3.217, 3.347, 7.575 Å; angles 90.00, 90.00, 90.00 degrees
Positions (direct):
Be 0.500 0.500 0.719
Mn 0.000 0.000 0.556
Br 0.000 0.500 0.911
Br 0.500 0.000 0.313

Most stable: run two

Run one
The following is a meta-GGA SCAN calculation of BeOsBr at its PBEsol-relaxed geometry, from the Alexandria database.

Cell lengths 4.084, 4.084, 4.084 Å; angles 60.00, 60.00, 60.00 degrees
Positions (direct):
Be 0.500 0.500 0.500
Os 0.000 0.000 0.000
Br 0.750 0.750 0.750

Run two
The following is a meta-GGA SCAN calculation of BeOsBr at its PBEsol-relaxed geometry, from the Alexandria database.

Cell lengths 2.773, 2.773, 7.158 Å; angles 95.99, 95.99, 117.49 degrees
Positions (direct):
Be 0.994 0.994 0.989
Os 0.371 0.371 0.742
Br 0.634 0.634 0.269

Most stable: run two

Run one
The following is a meta-GGA SCAN calculation of Be2OsBr at its PBEsol-relaxed geometry, from the Alexandria database.

Cell lengths 2.936, 3.310, 6.353 Å; angles 90.00, 103.32, 90.00 degrees
Positions (direct):
Be 0.829 0.000 0.034
Be 0.715 0.500 0.805
Os 0.363 0.500 0.102
Br 0.592 0.000 0.559

Run two
The following is a meta-GGA SCAN calculation of Be2OsBr at its PBEsol-relaxed geometry, from the Alexandria database.

Cell lengths 3.154, 4.211, 4.716 Å; angles 89.89, 90.00, 111.99 degrees
Positions (direct):
Be 0.204 0.407 0.383
Be 0.796 0.593 0.617
Os 0.500 0.000 0.500
Br 0.000 0.000 0.000

Most stable: run one

Run one
The following is a meta-GGA SCAN calculation of BePBr2 at its PBEsol-relaxed geometry, from the Alexandria database.

Cell lengths 3.254, 3.759, 7.959 Å; angles 92.98, 90.00, 115.64 degrees
Positions (direct):
P 0.654 0.307 0.583
Br 0.888 0.775 0.903
Br 0.586 0.173 0.310
Be 0.372 0.745 0.703

Run two
The following is a meta-GGA SCAN calculation of BePBr2 at its PBEsol-relaxed geometry, from the Alexandria database.

Cell lengths 3.075, 3.075, 8.356 Å; angles 90.00, 90.00, 90.00 degrees
Positions (direct):
P 0.500 0.500 0.000
Br 0.000 0.000 0.682
Br 0.000 0.000 0.318
Be 0.500 0.500 0.500

Most stable: run one

Run one
The following is a meta-GGA SCAN calculation of BePtBr2 at its PBEsol-relaxed geometry, from the Alexandria database.

Cell lengths 3.243, 4.663, 4.663 Å; angles 90.00, 90.00, 90.00 degrees
Positions (direct):
Be 0.500 0.000 0.000
Br 0.000 0.000 0.500
Br 0.000 0.500 0.000
Pt 0.500 0.500 0.500

Run two
The following is a meta-GGA SCAN calculation of BePtBr2 at its PBEsol-relaxed geometry, from the Alexandria database.

Cell lengths 4.639, 4.639, 4.639 Å; angles 60.00, 60.00, 60.00 degrees
Positions (direct):
Be 0.500 0.500 0.500
Br 0.250 0.250 0.250
Br 0.750 0.750 0.750
Pt 0.000 0.000 0.000

Run three
The following is a meta-GGA SCAN calculation of BePtBr2 at its PBEsol-relaxed geometry, from the Alexandria database.

Cell lengths 3.921, 3.594, 7.216 Å; angles 90.00, 90.00, 123.06 degrees
Positions (direct):
Be 0.500 0.000 0.694
Br 0.000 0.000 0.907
Br 0.500 0.000 0.331
Pt 0.000 0.000 0.568

Run four
The following is a meta-GGA SCAN calculation of BePtBr2 at its PBEsol-relaxed geometry, from the Alexandria database.

Cell lengths 3.206, 3.206, 8.852 Å; angles 79.57, 79.57, 60.00 degrees
Positions (direct):
Be 0.246 0.246 0.262
Br 0.966 0.966 0.102
Br 0.772 0.772 0.684
Pt 0.516 0.516 0.452

Most stable: run three

Run one
The following is a meta-GGA SCAN calculation of Be2PtBr at its PBEsol-relaxed geometry, from the Alexandria database.

Cell lengths 3.620, 3.620, 6.511 Å; angles 66.23, 66.23, 62.03 degrees
Positions (direct):
Be 0.059 0.059 0.929
Be 0.395 0.395 0.918
Br 0.399 0.399 0.567
Pt 0.647 0.647 0.085

Run two
The following is a meta-GGA SCAN calculation of Be2PtBr at its PBEsol-relaxed geometry, from the Alexandria database.

Cell lengths 2.883, 3.223, 6.232 Å; angles 90.00, 90.00, 90.00 degrees
Positions (direct):
Be 0.000 0.000 0.683
Be 0.000 0.000 0.317
Br 0.500 0.000 0.000
Pt 0.500 0.500 0.500

Most stable: run one

Run one
The following is a meta-GGA SCAN calculation of BeRh2Br at its PBEsol-relaxed geometry, from the Alexandria database.

Cell lengths 2.963, 4.257, 4.257 Å; angles 92.77, 90.00, 90.00 degrees
Positions (direct):
Be 0.500 0.000 0.000
Rh 0.000 0.500 0.000
Rh 0.000 0.000 0.500
Br 0.500 0.500 0.500

Run two
The following is a meta-GGA SCAN calculation of BeRh2Br at its PBEsol-relaxed geometry, from the Alexandria database.

Cell lengths 2.933, 4.196, 5.172 Å; angles 113.93, 106.47, 90.00 degrees
Positions (direct):
Be 0.500 0.000 0.000
Rh 0.803 0.803 0.607
Rh 0.197 0.197 0.393
Br 0.000 0.500 0.000

Most stable: run two

Run one
The following is a meta-GGA SCAN calculation of ScBe2Br at its PBEsol-relaxed geometry, from the Alexandria database.

Cell lengths 3.502, 4.146, 4.989 Å; angles 114.55, 110.55, 90.00 degrees
Positions (direct):
Sc 0.261 0.761 0.521
Be 0.016 0.016 0.032
Be 0.721 0.221 0.441
Br 0.503 0.503 0.005

Run two
The following is a meta-GGA SCAN calculation of ScBe2Br at its PBEsol-relaxed geometry, from the Alexandria database.

Cell lengths 3.161, 3.958, 5.366 Å; angles 90.00, 90.04, 90.00 degrees
Positions (direct):
Sc 0.250 0.500 0.786
Be 0.750 0.000 0.029
Be 0.750 0.500 0.153
Br 0.750 0.000 0.532

Most stable: run two

Run one
The following is a meta-GGA SCAN calculation of ScBe2Br at its PBEsol-relaxed geometry, from the Alexandria database.

Cell lengths 4.461, 4.461, 4.461 Å; angles 60.00, 60.00, 60.00 degrees
Positions (direct):
Sc 0.750 0.750 0.750
Be 0.000 0.000 0.000
Be 0.250 0.250 0.250
Br 0.500 0.500 0.500

Run two
The following is a meta-GGA SCAN calculation of ScBe2Br at its PBEsol-relaxed geometry, from the Alexandria database.

Cell lengths 3.248, 3.248, 5.921 Å; angles 90.00, 90.00, 90.09 degrees
Positions (direct):
Sc 0.500 0.500 0.000
Be 0.000 0.000 0.259
Be 0.000 0.000 0.741
Br 0.500 0.500 0.500

Most stable: run two